VASP calculation (PBE) on a relaxed structure of Zr3Be2Rh5.

Computed properties:
**Space-group type**: P4/mbm
**Final energy**: -7.82 eV/atom

Unit cell a=3.365 b=9.462 c=9.462 alpha=90.00 beta=90.00 gamma=90.00
Sites, in units of the cell vectors:
Zr  0.000  0.326  0.826
Zr  0.000  0.674  0.174
Zr  0.000  0.174  0.326
Zr  0.000  0.826  0.674
Zr  0.000  0.000  0.000
Zr  0.000  0.500  0.500
Be  0.000  0.120  0.620
Be  0.000  0.880  0.380
Be  0.000  0.380  0.120
Be  0.000  0.620  0.880
Rh  0.500  0.216  0.072
Rh  0.500  0.784  0.928
Rh  0.500  0.928  0.216
Rh  0.500  0.072  0.784
Rh  0.500  0.284  0.572
Rh  0.500  0.716  0.428
Rh  0.500  0.572  0.716
Rh  0.500  0.428  0.284
Rh  0.500  0.000  0.500
Rh  0.500  0.500  0.000



VASP calculation (PBE) on a relaxed structure of Al2GeBr.

Computed properties:
**Space-group type**: I-42d
**Polymorph energy (0 for the lowest one)**: 0.00 eV/f.u.

Unit cell a=6.038 b=6.038 c=7.505 alpha=66.28 beta=66.28 gamma=90.00
Sites, in units of the cell vectors:
Ge  0.500  0.500  0.000
Ge  0.250  0.750  0.500
Al  0.573  0.125  0.250
Al  0.177  0.625  0.250
Al  0.375  0.427  0.750
Al  0.875  0.823  0.750
Br  0.000  0.000  0.000
Br  0.750  0.250  0.500



VASP calculation (PBE) on a relaxed structure of FeCoRu2Au.

Computed properties:
**Space-group type**: P4/mmm
**Final energy**: -6.00 eV/atom

Unit cell a=4.320 b=4.741 c=4.320 alpha=90.00 beta=90.00 gamma=90.00
Last column: magnetic moment on the atom in μB.
Sites, in units of the cell vectors:
Ru  0.000  0.000  0.500  0.70
Ru  0.500  0.000  0.000  0.72
Au  0.000  0.500  0.000  0.06
Fe  0.000  0.000  0.000  0.07
Co  0.500  0.500  0.500  2.15



Number 1: DOS at the Fermi energy 8.0 states/eV/cell, total magnetization 0.000 μB per formula unit. Number 2: DOS at the Fermi energy 5.9 states/eV/cell, total magnetization 0.000 μB per formula unit. Number 3: DOS at the Fermi energy 7.9 states/eV/cell, total magnetization 3.694 μB per formula unit.